The following is a PBE calculation of an optimized crystal structure of AcPmDy, from Alexandria.

Cell: 3.7523 3.7523 9.0485 Å, 90.00 90.00 120.00°
Atoms (fractional coordinates):
1 Ac 0.0000 0.0000 0.0035
2 Pm 0.3333 0.6667 0.6562
3 Dy 0.6667 0.3333 0.3403

Density in g cm⁻³: 8.044
Distance to the lowest polymorph of the same formula in eV/atom: 0.004
DFT formation energy in eV per formula unit: 0.2
Spin magnetization in μB/f.u.: 0.00